1.
This record from OQMD via LeMat-Bulk describes an optimized crystal structure of AlOs2O4. The functional is PBE-GGA.

a = 8.460 Å, b = 8.460 Å, c = 8.460 Å
α = 90.00°, β = 90.00°, γ = 90.00°
Space group Fd-3m (No. 227, origin choice 2)
Symmetry-distinct sites (fractional):
1 Al 0.125 0.125 0.125 [8 per cell]
2 Os 0.000 0.000 0.500 [16 per cell]
3 O 0.003 0.003 0.247 [32 per cell]


2.
This record from OQMD via LeMat-Bulk describes an optimized crystal structure of AlPPdO. The functional is PBE-GGA.

a = 3.006 Å, b = 6.069 Å, c = 6.402 Å
α = 90.00°, β = 90.00°, γ = 90.00°
Space group Pmc2_1 (No. 26)
Symmetry-distinct sites (fractional):
1 Al 0.000 0.210 0.000 [2 per cell]
2 P 0.000 0.441 0.306 [2 per cell]
3 Pd 0.500 0.318 0.583 [2 per cell]
4 O 0.500 0.066 0.979 [2 per cell]


3.
This record from OQMD via LeMat-Bulk describes an optimized crystal structure of AlPPdO. The functional is PBE-GGA.

a = 3.669 Å, b = 3.669 Å, c = 8.490 Å
α = 90.00°, β = 90.00°, γ = 90.00°
Space group P4/nmm (No. 129, origin choice 2)
Symmetry-distinct sites (fractional):
1 Al 0.250 0.250 0.085 [2 per cell]
2 P 0.250 0.250 0.689 [2 per cell]
3 Pd 0.250 0.750 0.500 [2 per cell]
4 O 0.250 0.750 0.000 [2 per cell]


4.
This record from OQMD via LeMat-Bulk describes an optimized crystal structure of AlPPdO. The functional is PBE-GGA.

a = 4.002 Å, b = 6.969 Å, c = 4.693 Å
α = 90.00°, β = 90.00°, γ = 90.00°
Space group Pmc2_1 (No. 26)
Symmetry-distinct sites (fractional):
1 Al 0.000 0.130 0.000 [2 per cell]
2 P 0.500 0.298 0.889 [2 per cell]
3 Pd 0.500 0.378 0.397 [2 per cell]
4 O 0.000 0.108 0.373 [2 per cell]


5.
This record from OQMD via LeMat-Bulk describes an optimized crystal structure of AlPPdO. The functional is PBE-GGA.

a = 4.013 Å, b = 4.013 Å, c = 8.209 Å
α = 90.00°, β = 90.00°, γ = 90.00°
Space group P4/nmm (No. 129, origin choice 2)
Symmetry-distinct sites (fractional):
1 Al 0.250 0.750 0.000 [2 per cell]
2 P 0.250 0.250 0.167 [2 per cell]
3 Pd 0.250 0.250 0.565 [2 per cell]
4 O 0.250 0.750 0.500 [2 per cell]


6.
This record from OQMD via LeMat-Bulk describes an optimized crystal structure of AlPPtO. The functional is PBE-GGA.

a = 3.063 Å, b = 6.344 Å, c = 6.378 Å
α = 90.00°, β = 90.00°, γ = 90.00°
Space group Pmc2_1 (No. 26)
Symmetry-distinct sites (fractional):
1 Al 0.000 0.249 0.000 [2 per cell]
2 P 0.000 0.100 0.346 [2 per cell]
3 Pt 0.500 0.208 0.592 [2 per cell]
4 O 0.500 0.370 0.934 [2 per cell]


no.,raw total energy (eV/atom)
1,-7.368
2,-5.900
3,-5.754
4,-5.930
5,-4.963
6,-6.028